Material: Tm4Sb2SeS
Method: DFT, PBE
State: optimized geometry

Cell: 7.162 4.146 7.171 Å, 90.00 109.56 90.00°
Fractional positions:
Tm  0.228  0.000  0.236
Tm  0.232  0.500  0.751
Tm  0.768  0.500  0.249
Tm  0.772  0.000  0.764
Sb  0.500  0.000  0.000
Sb  0.500  0.500  0.500
Se  0.000  0.000  0.500
S  0.000  0.500  0.000

E_tot (Ha/atom): -0.207
Total moment (μB per cell): 0.0
Space group: No. 10
Formation energy (no corrections) (meV/atom): -1404